CePr2GeN4: optimized geometry, GGA-PBE.

## Properties
density	6.99	g/cm3
E_form (uncorrected)	-840	meV/atom

a = 3.6313 Å, b = 6.1541 Å, c = 12.2459 Å
α = 90.00°, β = 90.00°, γ = 107.16°
Site moments in Bohr magnetons follow the coordinates.
Atoms (fractional coordinates):
Pr 0.3686 0.7372 0.9550  0.02
N 0.2760 0.5520 0.3648  -0.01
Pr 0.3686 0.7372 0.5450  0.02
N 0.7240 0.4480 0.8648  -0.01
N 0.0000 0.0000 0.5000  -0.01
Ce 0.9007 0.8013 0.2500  0.87
N 0.0000 0.0000 0.0000  -0.01
Ge 0.8328 0.6655 0.7500  0.00
Pr 0.6314 0.2628 0.4550  0.02
N 0.2760 0.5520 0.1352  -0.01
Ce 0.0993 0.1987 0.7500  0.87
N 0.5800 0.1599 0.2500  -0.01
N 0.4200 0.8401 0.7500  -0.01
Ge 0.1672 0.3345 0.2500  0.00
Pr 0.6314 0.2628 0.0450  0.02
N 0.7240 0.4480 0.6352  -0.01


Ce4Pr2Ge3N2: optimized geometry, GGA-PBE.

## Properties
density	6.74	g/cm3
E_form (uncorrected)	-945	meV/atom

a = 4.6506 Å, b = 4.6506 Å, c = 12.8210 Å
α = 100.45°, β = 100.45°, γ = 90.00°
Site moments in Bohr magnetons follow the coordinates.
Atoms (fractional coordinates):
Ce 0.5814 0.0814 0.1629  0.34
Ce 0.0814 0.5814 0.1629  0.34
N 0.3996 0.3996 0.7992  -0.02
Ge 0.1724 0.1724 0.3448  -0.02
Pr 0.6997 0.6997 0.3994  0.04
Pr 0.3003 0.3003 0.6006  0.04
Ge 0.0000 0.0000 0.0000  -0.03
N 0.6004 0.6004 0.2008  -0.02
Ce 0.4186 0.9186 0.8371  0.34
Ge 0.8276 0.8276 0.6552  -0.02
Ce 0.9186 0.4186 0.8371  0.34


CePr2GeN5: optimized geometry, GGA-PBE.

## Properties
density	6.94	g/cm3
E_form (uncorrected)	-776	meV/atom

a = 3.4422 Å, b = 7.9775 Å, c = 10.0712 Å
α = 90.00°, β = 90.00°, γ = 102.46°
Site moments in Bohr magnetons follow the coordinates.
Atoms (fractional coordinates):
Ge 0.5497 0.0994 0.9521  0.00
N 0.6639 0.3277 0.8712  0.09
N 0.3587 0.7173 0.0046  0.12
N 0.4958 0.9917 0.7881  0.08
N 0.9550 0.9099 0.5479  0.05
Ce 0.2149 0.4298 0.0099  0.06
N 0.0450 0.0901 0.0479  0.05
Ge 0.4503 0.9006 0.4521  0.00
Pr 0.1055 0.2109 0.6793  0.00
N 0.2889 0.5779 0.6645  0.17
N 0.6413 0.2827 0.5046  0.12
Pr 0.8945 0.7891 0.1793  0.00
Pr 0.1158 0.2315 0.3064  0.00
N 0.3361 0.6723 0.3712  0.09
N 0.7111 0.4221 0.1645  0.17
Ce 0.7851 0.5702 0.5099  0.06
Pr 0.8842 0.7685 0.8064  0.00
N 0.5042 0.0083 0.2881  0.08


Ce2PrGeN5: optimized geometry, GGA-PBE.

## Properties
density	6.95	g/cm3
E_form (uncorrected)	-915	meV/atom

a = 3.3545 Å, b = 8.6639 Å, c = 9.4487 Å
α = 90.00°, β = 90.00°, γ = 101.16°
Atoms (fractional coordinates):
N 0.6342 0.2684 0.5210
Pr 0.2213 0.4426 0.0013
Ge 0.5532 0.1064 0.9536
N 0.0355 0.0709 0.0492
N 0.4960 0.9919 0.7832
Ce 0.0950 0.1900 0.6742
Ce 0.9050 0.8100 0.1742
N 0.3484 0.6968 0.3574
N 0.5040 0.0081 0.2832
Pr 0.7787 0.5574 0.5013
N 0.3213 0.6427 0.6889
Ce 0.8959 0.7918 0.7951
N 0.9645 0.9291 0.5492
Ce 0.1041 0.2082 0.2951
N 0.6787 0.3573 0.1889
Ge 0.4468 0.8936 0.4536
N 0.3658 0.7316 0.0210
N 0.6516 0.3032 0.8574


RbCeGeN3: optimized geometry, GGA-PBE.

## Properties
density	4.51	g/cm3
E_form (uncorrected)	-480	meV/atom

a = 3.5481 Å, b = 8.3978 Å, c = 8.5371 Å
α = 100.23°, β = 90.00°, γ = 90.00°
Atoms (fractional coordinates):
N 0.7500 0.8235 0.1865
N 0.2500 0.8737 0.4997
Ge 0.7500 0.9032 0.3954
Rb 0.2500 0.1726 0.1874
Rb 0.7500 0.8274 0.8126
N 0.7500 0.4502 0.1136
N 0.2500 0.1765 0.8135
N 0.7500 0.1263 0.5003
Ce 0.7500 0.3761 0.8508
Ge 0.2500 0.0968 0.6046
Ce 0.2500 0.6239 0.1492
N 0.2500 0.5498 0.8864


CeGeRu2N: optimized geometry, GGA-PBE.

## Properties
density	8.91	g/cm3
E_form (uncorrected)	-633	meV/atom

a = 3.8459 Å, b = 6.0626 Å, c = 7.2278 Å
α = 90.00°, β = 90.00°, γ = 108.49°
Site moments in Bohr magnetons follow the coordinates.
Atoms (fractional coordinates):
N 0.0000 0.0000 0.5000  0.00
Ru 0.1614 0.3227 0.5518  0.00
Ge 0.2708 0.5415 0.2500  0.00
Ru 0.8386 0.6773 0.4482  0.00
Ru 0.8386 0.6773 0.0518  0.00
Ru 0.1614 0.3227 0.9482  0.00
Ge 0.7292 0.4585 0.7500  0.00
Ce 0.5494 0.0987 0.2500  0.41
N 0.0000 0.0000 0.0000  0.00
Ce 0.4506 0.9013 0.7500  0.41


CeGeRuN: optimized geometry, GGA-PBE.

## Properties
density	7.84	g/cm3
E_form (uncorrected)	-834	meV/atom

a = 4.1591 Å, b = 4.1591 Å, c = 8.0299 Å
α = 90.00°, β = 90.00°, γ = 90.00°
Atoms (fractional coordinates):
Ru 0.0000 0.0000 0.0000
Ge 0.0000 0.5000 0.8439
N 0.0000 0.0000 0.5000
N 0.5000 0.5000 0.5000
Ce 0.0000 0.5000 0.3712
Ge 0.5000 0.0000 0.1561
Ru 0.5000 0.5000 0.0000
Ce 0.5000 0.0000 0.6288


Ce5GeSb2N: optimized geometry, GGA-PBE.

## Properties
density	6.97	g/cm3
E_form (uncorrected)	-905	meV/atom

a = 4.6359 Å, b = 4.6359 Å, c = 11.4298 Å
α = 90.00°, β = 90.00°, γ = 90.00°
Site moments in Bohr magnetons follow the coordinates.
Atoms (fractional coordinates):
Sb 0.5000 0.5000 0.2897  -0.02
Ce 0.0000 0.0000 0.2567  0.70
N 0.0000 0.0000 0.5000  -0.03
Ce 0.5000 0.0000 0.5000  0.27
Ce 0.0000 0.0000 0.7433  0.70
Ce 0.0000 0.5000 0.5000  0.27
Sb 0.5000 0.5000 0.7103  -0.02
Ge 0.0000 0.0000 0.0000  -0.04
Ce 0.5000 0.5000 0.0000  0.80


Ce5Ge2SeN: optimized geometry, GGA-PBE.

## Properties
density	6.76	g/cm3
E_form (uncorrected)	-993	meV/atom

a = 4.5855 Å, b = 4.5855 Å, c = 10.9687 Å
α = 90.00°, β = 90.00°, γ = 90.00°
Site moments in Bohr magnetons follow the coordinates.
Atoms (fractional coordinates):
Ce 0.5000 0.0000 0.5000  0.33
Ce 0.0000 0.5000 0.5000  0.33
N 0.0000 0.0000 0.5000  -0.03
Ce 0.5000 0.5000 0.0000  1.07
Ge 0.5000 0.5000 0.7088  -0.03
Ce 0.0000 0.0000 0.2626  0.74
Ge 0.5000 0.5000 0.2912  -0.03
Se 0.0000 0.0000 0.0000  -0.03
Ce 0.0000 0.0000 0.7374  0.74


Ce4SiGeN: optimized geometry, GGA-PBE.

## Properties
density	6.59	g/cm3
E_form (uncorrected)	-779	meV/atom

a = 6.6452 Å, b = 6.6397 Å, c = 8.3935 Å
α = 90.00°, β = 113.32°, γ = 90.00°
Site moments in Bohr magnetons follow the coordinates.
Atoms (fractional coordinates):
Ce 0.0000 0.0000 0.5000  0.27
Ge 0.8863 0.7500 0.7727  -0.03
Ce 0.5000 0.5000 0.5000  0.27
Ce 0.0000 0.5000 0.5000  0.27
Ce 0.5794 0.2500 0.1589  0.81
Ge 0.1137 0.2500 0.2273  -0.03
Ce 0.4206 0.7500 0.8411  0.81
Si 0.3837 0.2500 0.7675  -0.02
N 0.2517 0.7500 0.5034  -0.03
Ce 0.9178 0.2500 0.8356  0.81
Si 0.6163 0.7500 0.2325  -0.02
N 0.7483 0.2500 0.4966  -0.03
Ce 0.0822 0.7500 0.1644  0.81
Ce 0.5000 0.0000 0.5000  0.27


Ce2SnGeN5: optimized geometry, GGA-PBE.

## Properties
density	7.42	g/cm3
E_form (uncorrected)	-575	meV/atom

a = 3.2950 Å, b = 7.5670 Å, c = 9.9684 Å
α = 90.00°, β = 90.00°, γ = 102.58°
Site moments in Bohr magnetons follow the coordinates.
Atoms (fractional coordinates):
N 0.3590 0.7181 0.9998  -0.03
N 0.4965 0.9931 0.7800  -0.03
Sn 0.7830 0.5659 0.5157  0.00
N 0.6721 0.3441 0.8831  -0.01
Ge 0.5480 0.0959 0.9501  0.00
N 0.9606 0.9211 0.5467  -0.01
Ce 0.1239 0.2478 0.2999  0.46
Ce 0.8761 0.7522 0.7999  0.46
N 0.6410 0.2819 0.4998  -0.03
Ce 0.1111 0.2222 0.6778  0.58
N 0.3279 0.6559 0.3831  -0.01
N 0.0394 0.0789 0.0467  -0.01
N 0.7094 0.4188 0.1708  -0.02
Ce 0.8889 0.7778 0.1778  0.58
N 0.5035 0.0069 0.2800  -0.03
Ge 0.4520 0.9041 0.4501  0.00
N 0.2906 0.5812 0.6708  -0.02
Sn 0.2170 0.4341 0.0157  0.00


Ce6Sn2GeN: optimized geometry, GGA-PBE.

## Properties
density	6.81	g/cm3
E_form (uncorrected)	-515	meV/atom

a = 5.2795 Å, b = 5.2795 Å, c = 10.1965 Å
α = 90.00°, β = 90.00°, γ = 90.00°
Site moments in Bohr magnetons follow the coordinates.
Atoms (fractional coordinates):
Sn 0.0000 0.0000 0.7449  -0.04
Ce 0.5000 0.5000 0.2758  0.75
Ce 0.0000 0.5000 0.0000  0.65
Sn 0.0000 0.0000 0.2551  -0.04
Ge 0.5000 0.5000 0.0000  -0.02
N 0.5000 0.5000 0.5000  -0.07
Ce 0.5000 0.5000 0.7242  0.75
Ce 0.5000 0.0000 0.0000  0.65
Ce 0.0000 0.5000 0.5000  0.99
Ce 0.5000 0.0000 0.5000  0.99


Q: Which value of density does entry 9 give?
A: 6.76 g/cm3


Q: Among the records above, which one has the lowest density?
A: RbCeGeN3


Q: E_form (uncorrected) of number 2 (Ce4Pr2Ge3N2)?
A: -945 meV/atom


Q: E_form (uncorrected) of number 9 (Ce5Ge2SeN)?
A: -993 meV/atom